# 1
This record from the Alexandria database describes a relaxed Ga2CoPt9 crystal. The functional is PBE.

Summary:
- ΔH_f (0 K) (meV/atom) = -310
- space-group type = No. 123
- DOS at the Fermi energy (states/eV per cell) = 11.56
- magnetic moment (μB/f.u.) = 3.9

a = 3.9270 Å, b = 3.9270 Å, c = 11.7991 Å
α = 90.00°, β = 90.00°, γ = 90.00°
Last column: nearest neighbours and their distance in Å.
Element x y z (fractional)
Ga  0.0000  0.0000  0.3323  12 Pt 2.78-2.80
Ga  0.0000  0.0000  0.6677  12 Pt 2.78-2.80
Co  0.0000  0.0000  0.0000  12 Pt 2.75-2.78
Pt  0.5000  0.5000  0.0000  8 Pt 2.75, 4 Co 2.78
Pt  0.5000  0.5000  0.3319  4 Ga 2.78, 8 Pt 2.79-2.80
Pt  0.5000  0.5000  0.6681  4 Ga 2.78, 8 Pt 2.79-2.80
Pt  0.5000  0.0000  0.1629  8 Pt 2.75-2.80, 2 Co 2.75, 2 Ga 2.80
Pt  0.5000  0.0000  0.5000  8 Pt 2.78-2.79, 4 Ga 2.79
Pt  0.5000  0.0000  0.8371  8 Pt 2.75-2.80, 2 Co 2.75, 2 Ga 2.80
Pt  0.0000  0.5000  0.1629  2 Co 2.75, 8 Pt 2.75-2.80, 2 Ga 2.80
Pt  0.0000  0.5000  0.5000  8 Pt 2.78-2.79, 4 Ga 2.79
Pt  0.0000  0.5000  0.8371  2 Co 2.75, 8 Pt 2.75-2.80, 2 Ga 2.80

***

# 2
This record from the Alexandria database describes a relaxed BeMo2I crystal. The functional is PBE.

Summary:
- space-group type = No. 122
- DOS at the Fermi energy (states/eV per cell) = 4.38
- formation energy (no corrections) (eV per atom) = 0.962
- magnetic moment (μB/f.u.) = 0.0
- polymorph energy (0 for the lowest one) (meV/atom) = 64

a = 4.0243 Å, b = 4.0243 Å, c = 9.4468 Å
α = 77.70°, β = 77.70°, γ = 90.00°
Last column: nearest neighbours and their distance in Å.
Element x y z (fractional)
I  0.0000  0.0000  0.0000  4 Mo 2.78, 4 Be 2.85
I  0.7500  0.2500  0.5000  4 Mo 2.78, 4 Be 2.85
Be  0.5000  0.5000  0.0000  4 Mo 2.57, 4 I 2.85
Be  0.2500  0.7500  0.5000  4 Mo 2.57, 4 I 2.85
Mo  0.5578  0.1250  0.2500  2 Mo 2.49, 2 Be 2.57, 2 I 2.78
Mo  0.1922  0.6250  0.2500  2 Mo 2.49, 2 Be 2.57, 2 I 2.78
Mo  0.3750  0.4422  0.7500  2 Mo 2.49, 2 Be 2.57, 2 I 2.78
Mo  0.8750  0.8078  0.7500  2 Mo 2.49, 2 Be 2.57, 2 I 2.78

***

# 3
This record from the Alexandria database describes a relaxed Li2Mn2Co crystal. The functional is PBE.

Summary:
- ΔH_f (0 K) (meV/atom) = 682
- space-group type = No. 127
- DOS at the Fermi energy (states/eV per cell) = 12.06
- magnetic moment (μB/f.u.) = 3.1
- polymorph energy (0 for the lowest one) (meV/atom) = 178

a = 6.7939 Å, b = 6.7939 Å, c = 2.5877 Å
α = 90.00°, β = 90.00°, γ = 90.00°
Last column: nearest neighbours and their distance in Å.
Element x y z (fractional)
Mn  0.3995  0.8995  0.0000  1 Mn 1.93
Mn  0.8995  0.6005  0.0000  1 Mn 1.93
Mn  0.6005  0.1005  0.0000  1 Mn 1.93
Mn  0.1005  0.3995  0.0000  1 Mn 1.93
Co  0.0000  0.0000  0.0000  2 Co 2.59, 8 Li 2.78, 4 Mn 2.80
Co  0.5000  0.5000  0.0000  2 Co 2.59, 8 Li 2.78, 4 Mn 2.80
Li  0.1950  0.6950  0.5000  6 Mn 2.35-2.47, 2 Li 2.59
Li  0.6950  0.8050  0.5000  6 Mn 2.35-2.47, 2 Li 2.59
Li  0.8050  0.3050  0.5000  6 Mn 2.35-2.47, 2 Li 2.59
Li  0.3050  0.1950  0.5000  6 Mn 2.35-2.47, 2 Li 2.59

***

# 4
This record from the Alexandria database describes a relaxed BeFeP crystal. The functional is PBE.

Summary:
- ΔH_f (0 K) (meV/atom) = -341
- space-group type = No. 1
- DOS at the Fermi energy (states/eV per cell) = 1.85
- magnetic moment (μB/f.u.) = 0.0
- polymorph energy (0 for the lowest one) (meV/atom) = 61

a = 4.0068 Å, b = 4.0155 Å, c = 4.4696 Å
α = 66.36°, β = 74.73°, γ = 61.55°
Last column: nearest neighbours and their distance in Å.
Element x y z (fractional)
P  0.1481  0.5761  0.3604  5 Be 2.26-2.42, 5 Fe 2.26-2.50
P  0.6709  0.8049  0.8540  5 Be 2.28-2.49, 5 Fe 2.29-2.41
Fe  0.0102  0.1084  0.8944  5 P 2.26-2.50, 5 Be 2.31-2.38
Fe  0.4759  0.9390  0.3433  5 P 2.28-2.38, 5 Be 2.29-2.41
Be  0.8056  0.2513  0.3859  5 P 2.26-2.49, 5 Fe 2.29-2.38, 1 Be 2.53
Be  0.3434  0.4737  0.8487  5 P 2.28-2.37, 5 Fe 2.31-2.41, 1 Be 2.53